The following is a PBEsol calculation of a relaxed CdP2SF crystal, from Alexandria.

a = 4.8019 Å, b = 4.9234 Å, c = 4.9234 Å
α = 90.00°, β = 90.00°, γ = 90.00°
Site moments in Bohr magnetons follow the coordinates.
Atoms (fractional coordinates):
1 F 0.5000 0.5000 0.5000  0.06
2 S 0.5000 0.0000 0.0000  -0.13
3 Cd 0.0000 0.0000 0.0000  0.00
4 P 0.0000 0.5000 0.0000  0.14
5 P 0.0000 0.0000 0.5000  0.14

Formation energy (no corrections), meV/atom: 1112

The following is a PBEsol calculation of a relaxed Cd2PbF crystal, from Alexandria.

a = 4.8982 Å, b = 4.8982 Å, c = 4.8982 Å
α = 60.00°, β = 60.00°, γ = 60.00°
Atoms (fractional coordinates):
1 Cd 0.2500 0.2500 0.2500
2 Cd 0.7500 0.7500 0.7500
3 F 0.0000 0.0000 0.0000
4 Pb 0.5000 0.5000 0.5000

Formation energy (no corrections), meV/atom: -421

The following is a PBEsol calculation of a relaxed CdPdF2 crystal, from Alexandria.

a = 3.0525 Å, b = 3.0525 Å, c = 7.8722 Å
α = 78.82°, β = 78.82°, γ = 60.00°
Site moments in Bohr magnetons follow the coordinates.
Atoms (fractional coordinates):
1 Cd 0.0000 0.0000 0.0000  0.01
2 Pd 0.5000 0.5000 0.5000  1.10
3 F 0.8960 0.8960 0.3119  0.15
4 F 0.1040 0.1040 0.6881  0.15

Formation energy (no corrections), meV/atom: -738

The following is a PBEsol calculation of a relaxed CdPdF2 crystal, from Alexandria.

a = 4.1780 Å, b = 4.1780 Å, c = 4.1780 Å
α = 60.00°, β = 60.00°, γ = 60.00°
Site moments in Bohr magnetons follow the coordinates.
Atoms (fractional coordinates):
1 Pd 0.0000 0.0000 0.0000  0.29
2 Cd 0.5000 0.5000 0.5000  -0.01
3 F 0.2500 0.2500 0.2500  0.02
4 F 0.7500 0.7500 0.7500  0.02

Formation energy (no corrections), meV/atom: -906

The following is a PBEsol calculation of a relaxed CdPdF4 crystal, from Alexandria.

a = 5.4024 Å, b = 5.4276 Å, c = 5.3937 Å
α = 91.49°, β = 90.00°, γ = 90.00°
Site moments in Bohr magnetons follow the coordinates.
Atoms (fractional coordinates):
1 F 0.6760 0.8333 0.8187  0.15
2 F 0.3240 0.1667 0.1813  0.15
3 F 0.3407 0.6662 0.3478  0.08
4 F 0.1760 0.1667 0.6813  0.15
5 F 0.8407 0.3338 0.1522  0.08
6 F 0.8240 0.8333 0.3187  0.15
7 F 0.1593 0.6662 0.8478  0.08
8 F 0.6593 0.3338 0.6522  0.08
9 Pd 0.0000 0.0000 0.0000  1.48
10 Pd 0.5000 0.0000 0.5000  1.48
11 Cd 0.0000 0.5000 0.5000  0.01
12 Cd 0.5000 0.5000 0.0000  0.01

Formation energy (no corrections), meV/atom: -1570

The following is a PBEsol calculation of a relaxed CdPdF6 crystal, from Alexandria.

a = 5.0967 Å, b = 5.0967 Å, c = 5.6159 Å
α = 63.01°, β = 63.01°, γ = 60.00°
Atoms (fractional coordinates):
1 F 0.0627 0.7802 0.7665
2 F 0.2198 0.6093 0.2335
3 F 0.7802 0.3907 0.7665
4 F 0.3907 0.0627 0.7665
5 F 0.6093 0.9373 0.2335
6 F 0.9373 0.2198 0.2335
7 Pd 0.0000 0.0000 0.0000
8 Cd 0.5000 0.5000 0.5000

Formation energy (no corrections), meV/atom: -1644

Respective DOS(E_F) values: 5.05 2.47 3.22 4.65 0.04 0.00 states/eV/f.u..